A relaxed structure of KOs2PtC. Source: Alexandria via LeMat-Bulk, functional PBE-GGA.

CIF file:
```
data_KOs2PtC
_symmetry_space_group_name_H-M 'P 4/m m m'
_symmetry_Int_Tables_number 123
_symmetry_space_group_name_Hall '-P 4 2'
_cell_length_a 4.592
_cell_length_b 4.592
_cell_length_c 4.089
_cell_angle_alpha 90.00
_cell_angle_beta 90.00
_cell_angle_gamma 90.00
loop_
_atom_site_label
_atom_site_type_symbol
_atom_site_fract_x
_atom_site_fract_y
_atom_site_fract_z
K1 K 0.000 0.000 0.000
Os1 Os 0.000 0.500 0.000
Pt1 Pt 0.500 0.500 0.500
C1 C 0.000 0.000 0.500
```

Results
**D(E_F)**: 5.71 states/eV/cell
**Energy relative to the elements**: 1979 kJ/mol of formula units
**Crystal system**: tetragonal
**M_tot**: 0.21 μB/atom

---

A relaxed structure of KOsCSe2. Source: Alexandria via LeMat-Bulk, functional PBE-GGA.

CIF file:
```
data_KOsCSe2
_symmetry_space_group_name_H-M 'P 4/m m m'
_symmetry_Int_Tables_number 123
_symmetry_space_group_name_Hall '-P 4 2'
_cell_length_a 4.700
_cell_length_b 4.700
_cell_length_c 6.912
_cell_angle_alpha 90.00
_cell_angle_beta 90.00
_cell_angle_gamma 90.00
loop_
_atom_site_label
_atom_site_type_symbol
_atom_site_fract_x
_atom_site_fract_y
_atom_site_fract_z
K1 K 0.000 0.000 0.000
Os1 Os 0.000 0.000 0.500
C1 C 0.500 0.500 0.000
Se1 Se 0.000 0.500 0.500
```

Results
**D(E_F)**: 4.75 states/eV/cell
**Formation energy (no corrections)**: 1456 meV per atom
**Crystal system**: tetragonal
**M_tot**: 0.51 μB/atom

---

A relaxed structure of KSnOs2C. Source: Alexandria via LeMat-Bulk, functional PBE-GGA.

CIF file:
```
data_KSnOs2C
_symmetry_space_group_name_H-M 'P 4/m m m'
_symmetry_Int_Tables_number 123
_symmetry_space_group_name_Hall '-P 4 2'
_cell_length_a 4.765
_cell_length_b 4.765
_cell_length_c 4.209
_cell_angle_alpha 90.00
_cell_angle_beta 90.00
_cell_angle_gamma 90.00
loop_
_atom_site_label
_atom_site_type_symbol
_atom_site_fract_x
_atom_site_fract_y
_atom_site_fract_z
K1 K 0.000 0.000 0.000
Sn1 Sn 0.500 0.500 0.500
Os1 Os 0.000 0.500 0.000
C1 C 0.000 0.000 0.500
```

Results
**D(E_F)**: 5.97 states/eV/cell
**Energy relative to the elements**: 1808 kJ/mol of formula units
**Crystal system**: tetragonal
**M_tot**: 0.00 μB/atom

---

A relaxed structure of K3PC. Source: Alexandria via LeMat-Bulk, functional PBE-GGA.

CIF file:
```
data_K3PC
_symmetry_space_group_name_H-M 'P m -3 m'
_symmetry_Int_Tables_number 221
_symmetry_space_group_name_Hall '-P 4 2 3'
_cell_length_a 5.582
_cell_length_b 5.582
_cell_length_c 5.582
_cell_angle_alpha 90.00
_cell_angle_beta 90.00
_cell_angle_gamma 90.00
loop_
_atom_site_label
_atom_site_type_symbol
_atom_site_fract_x
_atom_site_fract_y
_atom_site_fract_z
K1 K 0.000 0.000 0.500
P1 P 0.500 0.500 0.500
C1 C 0.000 0.000 0.000
```

Results
**D(E_F)**: 2.73 states/eV/cell
**Energy relative to the elements**: 463 kJ/mol of formula units
**Crystal system**: cubic
**M_tot**: 0.80 μB/atom

---

A relaxed structure of KP3C. Source: Alexandria via LeMat-Bulk, functional PBE-GGA.

CIF file:
```
data_KP3C
_symmetry_space_group_name_H-M 'P m -3 m'
_symmetry_Int_Tables_number 221
_symmetry_space_group_name_Hall '-P 4 2 3'
_cell_length_a 5.236
_cell_length_b 5.236
_cell_length_c 5.236
_cell_angle_alpha 90.00
_cell_angle_beta 90.00
_cell_angle_gamma 90.00
loop_
_atom_site_label
_atom_site_type_symbol
_atom_site_fract_x
_atom_site_fract_y
_atom_site_fract_z
K1 K 0.000 0.000 0.000
P1 P 0.000 0.000 0.500
C1 C 0.500 0.500 0.500
```

Results
**D(E_F)**: 10.33 states/eV/cell
**Energy relative to the elements**: 1657 kJ/mol of formula units
**Crystal system**: cubic
**M_tot**: 0.00 μB/atom

---

A relaxed structure of KPC3. Source: Alexandria via LeMat-Bulk, functional PBE-GGA.

CIF file:
```
data_KPC3
_symmetry_space_group_name_H-M 'P m -3 m'
_symmetry_Int_Tables_number 221
_symmetry_space_group_name_Hall '-P 4 2 3'
_cell_length_a 3.803
_cell_length_b 3.803
_cell_length_c 3.803
_cell_angle_alpha 90.00
_cell_angle_beta 90.00
_cell_angle_gamma 90.00
loop_
_atom_site_label
_atom_site_type_symbol
_atom_site_fract_x
_atom_site_fract_y
_atom_site_fract_z
K1 K 0.000 0.000 0.000
P1 P 0.500 0.500 0.500
C1 C 0.000 0.500 0.500
```

Results
**D(E_F)**: 1.66 states/eV/cell
**Energy relative to the elements**: 1009 kJ/mol of formula units
**Crystal system**: cubic
**M_tot**: 0.00 μB/atom

---

A relaxed structure of KPC3. Source: Alexandria via LeMat-Bulk, functional PBE-GGA.

CIF file:
```
data_KPC3
_symmetry_space_group_name_H-M 'P m -3 m'
_symmetry_Int_Tables_number 221
_symmetry_space_group_name_Hall '-P 4 2 3'
_cell_length_a 5.009
_cell_length_b 5.009
_cell_length_c 5.009
_cell_angle_alpha 90.00
_cell_angle_beta 90.00
_cell_angle_gamma 90.00
loop_
_atom_site_label
_atom_site_type_symbol
_atom_site_fract_x
_atom_site_fract_y
_atom_site_fract_z
K1 K 0.000 0.000 0.000
P1 P 0.500 0.500 0.500
C1 C 0.000 0.000 0.500
```

Results
**D(E_F)**: 7.41 states/eV/cell
**Energy relative to the elements**: 2164 kJ/mol of formula units
**Crystal system**: cubic
**M_tot**: 0.80 μB/atom

---

A relaxed structure of KP3C. Source: Alexandria via LeMat-Bulk, functional PBE-GGA.

CIF file:
```
data_KP3C
_symmetry_space_group_name_H-M 'P m -3 m'
_symmetry_Int_Tables_number 221
_symmetry_space_group_name_Hall '-P 4 2 3'
_cell_length_a 4.379
_cell_length_b 4.379
_cell_length_c 4.379
_cell_angle_alpha 90.00
_cell_angle_beta 90.00
_cell_angle_gamma 90.00
loop_
_atom_site_label
_atom_site_type_symbol
_atom_site_fract_x
_atom_site_fract_y
_atom_site_fract_z
K1 K 0.000 0.000 0.000
P1 P 0.000 0.500 0.500
C1 C 0.500 0.500 0.500
```

Results
**D(E_F)**: 3.53 states/eV/cell
**Energy relative to the elements**: 570 kJ/mol of formula units
**Crystal system**: cubic
**M_tot**: 0.00 μB/atom

---

A relaxed structure of KRePC2. Source: Alexandria via LeMat-Bulk, functional PBE-GGA.

CIF file:
```
data_KRePC2
_symmetry_space_group_name_H-M 'P 4/m m m'
_symmetry_Int_Tables_number 123
_symmetry_space_group_name_Hall '-P 4 2'
_cell_length_a 4.097
_cell_length_b 4.097
_cell_length_c 4.597
_cell_angle_alpha 90.00
_cell_angle_beta 90.00
_cell_angle_gamma 90.00
loop_
_atom_site_label
_atom_site_type_symbol
_atom_site_fract_x
_atom_site_fract_y
_atom_site_fract_z
K1 K 0.000 0.000 0.000
Re1 Re 0.500 0.500 0.000
P1 P 0.500 0.500 0.500
C1 C 0.000 0.500 0.500
```

Results
**D(E_F)**: 3.03 states/eV/cell
**Energy relative to the elements**: 1165 kJ/mol of formula units
**Crystal system**: tetragonal
**M_tot**: 0.42 μB/atom

---

A relaxed structure of KTa2PC. Source: Alexandria via LeMat-Bulk, functional PBE-GGA.

CIF file:
```
data_KTa2PC
_symmetry_space_group_name_H-M 'P 4/m m m'
_symmetry_Int_Tables_number 123
_symmetry_space_group_name_Hall '-P 4 2'
_cell_length_a 4.828
_cell_length_b 4.828
_cell_length_c 4.051
_cell_angle_alpha 90.00
_cell_angle_beta 90.00
_cell_angle_gamma 90.00
loop_
_atom_site_label
_atom_site_type_symbol
_atom_site_fract_x
_atom_site_fract_y
_atom_site_fract_z
K1 K 0.000 0.000 0.000
Ta1 Ta 0.000 0.500 0.500
P1 P 0.500 0.500 0.500
C1 C 0.500 0.500 0.000
```

Results
**D(E_F)**: 3.30 states/eV/cell
**Energy relative to the elements**: 854 kJ/mol of formula units
**Crystal system**: tetragonal
**M_tot**: 0.00 μB/atom

---

A relaxed structure of KTcP2C. Source: Alexandria via LeMat-Bulk, functional PBE-GGA.

CIF file:
```
data_KTcP2C
_symmetry_space_group_name_H-M 'P 4/m m m'
_symmetry_Int_Tables_number 123
_symmetry_space_group_name_Hall '-P 4 2'
_cell_length_a 4.487
_cell_length_b 4.487
_cell_length_c 6.727
_cell_angle_alpha 90.00
_cell_angle_beta 90.00
_cell_angle_gamma 90.00
loop_
_atom_site_label
_atom_site_type_symbol
_atom_site_fract_x
_atom_site_fract_y
_atom_site_fract_z
K1 K 0.000 0.000 0.000
Tc1 Tc 0.000 0.000 0.500
P1 P 0.000 0.500 0.500
C1 C 0.500 0.500 0.000
```

Results
**D(E_F)**: 4.26 states/eV/cell
**Energy relative to the elements**: 702 kJ/mol of formula units
**Crystal system**: tetragonal
**M_tot**: 0.52 μB/atom

---

A relaxed structure of KPaC. Source: Alexandria via LeMat-Bulk, functional PBE-GGA.

CIF file:
```
data_KPaC
_symmetry_space_group_name_H-M 'C 1 2/m 1'
_symmetry_Int_Tables_number 12
_cell_length_a 4.932
_cell_length_b 4.935
_cell_length_c 14.406
_cell_angle_alpha 90.00
_cell_angle_beta 91.49
_cell_angle_gamma 90.00
loop_
_symmetry_equiv_pos_as_xyz
'x,y,z'
'-x,-y,-z'
'-x,y,-z'
'x,-y,z'
'x+1/2,y+1/2,z'
'-x+1/2,-y+1/2,-z'
'-x+1/2,y+1/2,-z'
'x+1/2,-y+1/2,z'
loop_
_atom_site_label
_atom_site_type_symbol
_atom_site_fract_x
_atom_site_fract_y
_atom_site_fract_z
K1 K 0.232 0.000 0.147
Pa1 Pa 0.243 0.500 0.408
C1 C 0.245 0.000 0.432
```

Results
**D(E_F)**: 13.35 states/eV/cell
**Energy relative to the elements**: 10 kJ/mol of formula units
**Crystal system**: monoclinic
**M_tot**: 0.10 μB/atom